(1)
# Sn2Hg2BiPb2

Crystalline Sn2Hg2BiPb2 at its relaxed geometry (GGA-PBE, the Alexandria database).

Summary:
- DFT formation energy (meV/atom) = 96
- VASP energy (eV/atom) = -2.748
- V (Å³ per cell) = 218
- magnetization (μB per formula unit) = 0.00

extended XYZ file:
```
7
Lattice="5.176 0.000 0.000 -2.588 4.483 0.000 0.000 0.000 9.386" Properties=species:S:1:pos:R:3 pbc="T T T"
Sn 0.000 2.989 4.149
Sn 2.588 1.494 5.237
Hg 0.000 0.000 3.127
Hg 0.000 0.000 6.259
Bi 0.000 0.000 0.000
Pb 0.000 2.989 7.691
Pb 2.588 1.494 1.695
```


(2)
# Cr2SbBr

Crystalline Cr2SbBr at its relaxed geometry (GGA-PBE, the Alexandria database).

Summary:
- E above lowest polymorph (eV per atom) = 0.3262
- VASP energy (eV/atom) = -5.858
- V (Å³ per cell) = 84
- magnetization (μB per formula unit) = 7.84
- formation energy (no corrections) (eV per atom) = 0.403

extended XYZ file:
```
4
Lattice="0.000 3.471 3.471 3.471 0.000 3.471 3.471 3.471 0.000" Properties=species:S:1:pos:R:3 pbc="T T T"
Cr 1.736 1.736 1.736
Cr 5.207 5.207 5.207
Sb 0.000 0.000 0.000
Br 3.471 3.471 3.471
```